## a
Density functional theory data (PBE-GGA) for an optimized crystal structure of SbI2BrF.

The total moment comes out at 1.1 μB per cell.

It has space group P4/mmm (No. 123), with a = 5.890 Å, b = 5.890 Å, c = 5.708 Å, α = 90.00°, β = 90.00° and γ = 90.00°. Symmetry generates all atoms from Sb at (0.000, 0.000, 0.000), I at (0.000, 0.500, 0.500), Br at (0.000, 0.000, 0.500) and F at (0.500, 0.500, 0.000).

***

## b
Density functional theory data (PBE-GGA) for an optimized crystal structure of SbI2BrF.

The total moment comes out at 0.8 μB per cell.

It has space group P4/mmm (No. 123), with a = 6.054 Å, b = 6.054 Å, c = 4.236 Å, α = 90.00°, β = 90.00° and γ = 90.00°. Symmetry generates all atoms from Sb at (0.000, 0.000, 0.000), I at (0.000, 0.500, 0.500), Br at (0.500, 0.500, 0.000) and F at (0.000, 0.000, 0.500).

***

It is b that is most stable; the runner-up trails by 56.6 kJ/mol of atoms.

***

## a
Density functional theory data (PBE-GGA) for an optimized crystal structure of Se2IBrF.

The total moment comes out at 1.9 μB per cell.

It has space group P4/mmm (No. 123), with a = 5.451 Å, b = 5.451 Å, c = 5.631 Å, α = 90.00°, β = 90.00° and γ = 90.00°. Symmetry generates all atoms from Se at (0.000, 0.500, 0.000), I at (0.000, 0.000, 0.000), Br at (0.000, 0.000, 0.500) and F at (0.500, 0.500, 0.500).

***

## b
Density functional theory data (PBE-GGA) for an optimized crystal structure of Se2IBrF.

The total moment comes out at 0.0 μB per cell.

It has space group P4/mmm (No. 123), with a = 4.370 Å, b = 4.370 Å, c = 8.532 Å, α = 90.00°, β = 90.00° and γ = 90.00°. Symmetry generates all atoms from Se at (0.000, 0.500, 0.000), I at (0.000, 0.000, 0.500), Br at (0.500, 0.500, 0.500) and F at (0.500, 0.500, 0.000).

***

It is b that is most stable; the runner-up trails by 32.2 kJ/mol of atoms.

***

## a
Density functional theory data (PBE-GGA) for an optimized crystal structure of Te2IBrF.

The total moment comes out at 3.7 μB per cell.

It has space group P4/mmm (No. 123), with a = 5.813 Å, b = 5.813 Å, c = 5.865 Å, α = 90.00°, β = 90.00° and γ = 90.00°. Symmetry generates all atoms from Te at (0.000, 0.500, 0.000), I at (0.000, 0.000, 0.500), Br at (0.000, 0.000, 0.000) and F at (0.500, 0.500, 0.500).

***

## b
Density functional theory data (PBE-GGA) for an optimized crystal structure of Te2IBrF.

The total moment comes out at 0.0 μB per cell.

It has space group P4/mmm (No. 123), with a = 4.625 Å, b = 4.625 Å, c = 8.480 Å, α = 90.00°, β = 90.00° and γ = 90.00°. Symmetry generates all atoms from Te at (0.000, 0.500, 0.000), I at (0.000, 0.000, 0.500), Br at (0.500, 0.500, 0.500) and F at (0.000, 0.000, 0.000).

***

It is b that is most stable; the runner-up trails by 53.4 kJ/mol of atoms.

***

## a
Density functional theory data (PBE-GGA) for an optimized crystal structure of InBrF2.

The total moment comes out at 0.0 μB per cell.

It has space group Fm-3m (No. 225), with a = 6.292 Å, b = 6.292 Å, c = 6.292 Å, α = 90.00°, β = 90.00° and γ = 90.00°. Symmetry generates all atoms from In at (0.000, 0.000, 0.000), Br at (0.000, 0.000, 0.500) and F at (0.250, 0.250, 0.250).

***

## b
Density functional theory data (PBE-GGA) for an optimized crystal structure of InBrF2.

The total moment comes out at 0.0 μB per cell.

It has space group I-42d (No. 122), with a = 5.036 Å, b = 5.036 Å, c = 13.188 Å, α = 90.00°, β = 90.00° and γ = 90.00°. Symmetry generates all atoms from In at (0.000, 0.000, 0.000), Br at (0.000, 0.000, 0.500) and F at (0.001, 0.750, 0.125).

***

It is b that is most stable; the runner-up trails by 50.2 kJ/mol of atoms.

***

## a
Density functional theory data (PBE-GGA) for an optimized crystal structure of In2Br2F.

The total moment comes out at 0.0 μB per cell.

It has space group P2_1/c (No. 14), with a = 8.366 Å, b = 9.986 Å, c = 9.226 Å, α = 90.00°, β = 111.88° and γ = 90.00°. Symmetry generates all atoms from In at (0.020, 0.021, 0.242), In at (0.429, 0.080, 0.646), Br at (0.079, 0.192, 0.538), Br at (0.438, 0.662, 0.290) and F at (0.329, 0.502, 0.904).

***

## b
Density functional theory data (PBE-GGA) for an optimized crystal structure of In2Br2F.

The total moment comes out at 0.0 μB per cell.

It has space group P4/mbm (No. 127), with a = 7.109 Å, b = 7.109 Å, c = 4.876 Å, α = 90.00°, β = 90.00° and γ = 90.00°. Symmetry generates all atoms from In at (0.158, 0.342, 0.000), Br at (0.196, 0.696, 0.500) and F at (0.000, 0.000, 0.000).

***

It is a that is most stable; the runner-up trails by 17.6 kJ/mol of atoms.

***

## a
Density functional theory data (PBE-GGA) for an optimized crystal structure of InBrNF2.

The total moment comes out at 0.0 μB per cell.

It has space group P4/mmm (No. 123), with a = 4.863 Å, b = 4.863 Å, c = 3.752 Å, α = 90.00°, β = 90.00° and γ = 90.00°. Symmetry generates all atoms from In at (0.000, 0.000, 0.000), Br at (0.500, 0.500, 0.500), N at (0.500, 0.500, 0.000) and F at (0.000, 0.500, 0.500).

***

## b
Density functional theory data (PBE-GGA) for an optimized crystal structure of InBrNF2.

The total moment comes out at 1.0 μB per cell.

It has space group P4/mmm (No. 123), with a = 4.185 Å, b = 4.185 Å, c = 4.705 Å, α = 90.00°, β = 90.00° and γ = 90.00°. Symmetry generates all atoms from In at (0.000, 0.000, 0.000), Br at (0.500, 0.500, 0.500), N at (0.000, 0.000, 0.500) and F at (0.000, 0.500, 0.000).

***

It is b that is most stable; the runner-up trails by 52.1 kJ/mol of atoms.

***

## a
Density functional theory data (PBE-GGA) for an optimized crystal structure of InPbBr2F.

The total moment comes out at 0.0 μB per cell.

It has space group P4/mmm (No. 123), with a = 6.053 Å, b = 6.053 Å, c = 4.703 Å, α = 90.00°, β = 90.00° and γ = 90.00°. Symmetry generates all atoms from In at (0.000, 0.000, 0.000), Pb at (0.500, 0.500, 0.500), Br at (0.000, 0.500, 0.500) and F at (0.500, 0.500, 0.000).

***

## b
Density functional theory data (PBE-GGA) for an optimized crystal structure of InPbBr2F.

The total moment comes out at 0.0 μB per cell.

It has space group P2_1/m (No. 11), with a = 8.195 Å, b = 4.508 Å, c = 8.424 Å, α = 90.00°, β = 90.39° and γ = 90.00°. Symmetry generates all atoms from In at (0.250, 0.250, 0.048), Pb at (0.250, 0.750, 0.633), Br at (0.002, 0.250, 0.702), Br at (0.498, 0.250, 0.702) and F at (0.250, 0.750, 0.905).

***

It is b that is most stable; the runner-up trails by 7.1 kJ/mol of atoms.

***

## a
Density functional theory data (PBE-GGA) for an optimized crystal structure of RbInBr2F.

The total moment comes out at 0.1 μB per cell.

It has space group P4/mmm (No. 123), with a = 6.121 Å, b = 6.121 Å, c = 6.799 Å, α = 90.00°, β = 90.00° and γ = 90.00°. Symmetry generates all atoms from Rb at (0.000, 0.000, 0.000), In at (0.000, 0.000, 0.500), Br at (0.000, 0.500, 0.000) and F at (0.500, 0.500, 0.500).

***

## b
Density functional theory data (PBE-GGA) for an optimized crystal structure of RbInBr2F.

The total moment comes out at 0.0 μB per cell.

It has space group P4/mmm (No. 123), with a = 5.827 Å, b = 5.827 Å, c = 4.538 Å, α = 90.00°, β = 90.00° and γ = 90.00°. Symmetry generates all atoms from Rb at (0.000, 0.000, 0.000), In at (0.500, 0.500, 0.500), Br at (0.000, 0.500, 0.500) and F at (0.500, 0.500, 0.000).

***

It is b that is most stable; the runner-up trails by 114.9 kJ/mol of atoms.

***

## a
Density functional theory data (PBE-GGA) for an optimized crystal structure of InSnBrF2.

The total moment comes out at 0.0 μB per cell.

It has space group P2_1/m (No. 11), with a = 7.598 Å, b = 4.504 Å, c = 7.866 Å, α = 90.00°, β = 96.03° and γ = 90.00°. Symmetry generates all atoms from In at (0.225, 0.250, 0.423), Sn at (0.193, 0.250, 0.950), Br at (0.485, 0.750, 0.270), F at (0.059, 0.250, 0.704) and F at (0.088, 0.750, 0.952).

***

## b
Density functional theory data (PBE-GGA) for an optimized crystal structure of InSnBrF2.

The total moment comes out at 0.0 μB per cell.

It has space group P4/mmm (No. 123), with a = 4.393 Å, b = 4.393 Å, c = 5.898 Å, α = 90.00°, β = 90.00° and γ = 90.00°. Symmetry generates all atoms from In at (0.000, 0.000, 0.000), Sn at (0.000, 0.000, 0.500), Br at (0.500, 0.500, 0.000) and F at (0.000, 0.500, 0.500).

***

It is a that is most stable; the runner-up trails by 8.6 kJ/mol of atoms.

***

## a
Density functional theory data (PBE-GGA) for an optimized crystal structure of IrBrF3.

The total moment comes out at 0.6 μB per cell.

It has space group Pm-3m (No. 221), with a = 4.189 Å, b = 4.189 Å, c = 4.189 Å, α = 90.00°, β = 90.00° and γ = 90.00°. Symmetry generates all atoms from Ir at (0.000, 0.000, 0.000), Br at (0.500, 0.500, 0.500) and F at (0.000, 0.000, 0.500).

***

## b
Density functional theory data (PBE-GGA) for an optimized crystal structure of IrBrF3.

The total moment comes out at 2.7 μB per cell.

It has space group Pm-3m (No. 221), with a = 4.491 Å, b = 4.491 Å, c = 4.491 Å, α = 90.00°, β = 90.00° and γ = 90.00°. Symmetry generates all atoms from Ir at (0.000, 0.000, 0.000), Br at (0.500, 0.500, 0.500) and F at (0.000, 0.500, 0.500).

***

It is a that is most stable; the runner-up trails by 110.0 kJ/mol of atoms.

***

## a
Density functional theory data (PBE-GGA) for an optimized crystal structure of Ir3BrF.

The total moment comes out at 2.1 μB per cell.

It has space group Pm-3m (No. 221), with a = 4.390 Å, b = 4.390 Å, c = 4.390 Å, α = 90.00°, β = 90.00° and γ = 90.00°. Symmetry generates all atoms from Ir at (0.000, 0.000, 0.500), Br at (0.500, 0.500, 0.500) and F at (0.000, 0.000, 0.000).

***

## b
Density functional theory data (PBE-GGA) for an optimized crystal structure of Ir3BrF.

The total moment comes out at 2.6 μB per cell.

It has space group Pm-3m (No. 221), with a = 4.647 Å, b = 4.647 Å, c = 4.647 Å, α = 90.00°, β = 90.00° and γ = 90.00°. Symmetry generates all atoms from Ir at (0.000, 0.000, 0.500), Br at (0.000, 0.000, 0.000) and F at (0.500, 0.500, 0.500).

***

It is a that is most stable; the runner-up trails by 15.0 kJ/mol of atoms.

***

## a
Density functional theory data (PBE-GGA) for an optimized crystal structure of IrBrF2.

The total moment comes out at 4.1 μB per cell.

It has space group R-3m (No. 166, hexagonal axes), with a = 2.8090 Å, b = 2.8090 Å, c = 30.9437 Å, α = 90.00°, β = 90.00° and γ = 120.00°. Symmetry generates all atoms from Ir at (0.0000, 0.0000, 0.0000), Br at (0.0000, 0.0000, 0.5000) and F at (0.0000, 0.0000, 0.0612).

***

## b
Density functional theory data (PBE-GGA) for an optimized crystal structure of IrBrF2.

The total moment comes out at 0.0 μB per cell.

It has space group I-42d (No. 122), with a = 4.189 Å, b = 4.189 Å, c = 14.574 Å, α = 90.00°, β = 90.00° and γ = 90.00°. Symmetry generates all atoms from Ir at (0.000, 0.000, 0.000), Br at (0.000, 0.000, 0.500) and F at (0.087, 0.250, 0.125).

***

## c
Density functional theory data (PBE-GGA) for an optimized crystal structure of IrBrF2.

The total moment comes out at 13.0 μB per cell.

It has space group Fm-3m (No. 225), with a = 6.115 Å, b = 6.115 Å, c = 6.115 Å, α = 90.00°, β = 90.00° and γ = 90.00°. Symmetry generates all atoms from Ir at (0.000, 0.000, 0.000), Br at (0.000, 0.000, 0.500) and F at (0.250, 0.250, 0.250).

***

It is a that is most stable; the runner-up trails by 53.8 kJ/mol of atoms.